1.
# HfSc2V PBE-GGA relaxed
data_HfSc2V
_cell_length_a 6.976
_cell_length_b 6.976
_cell_length_c 6.976
_cell_angle_alpha 90.00
_cell_angle_beta 90.00
_cell_angle_gamma 90.00
_space_group_name_H-M_alt 'F m -3 m'
_space_group_IT_number 225
_space_group_name_Hall '-F 4 2 3'
loop_
_atom_site_label
_atom_site_fract_x
_atom_site_fract_y
_atom_site_fract_z
Hf1 0.000 0.000 0.000
Sc1 0.250 0.250 0.250
V1 0.000 0.000 0.500
# Energy above the most stable polymorph in this dataset in meV/atom: 0
# E_form in eV per atom: 0.314


2.
# Nd8IrPd3I4 PBE-GGA relaxed
data_Nd8IrPd3I4
_cell_length_a 8.5112
_cell_length_b 8.5112
_cell_length_c 24.3823
_cell_angle_alpha 90.00
_cell_angle_beta 90.00
_cell_angle_gamma 120.00
_space_group_name_H-M_alt 'R -3 m'
_space_group_IT_number 166
_space_group_name_Hall '-R 3 2"'
loop_
_atom_site_label
_atom_site_fract_x
_atom_site_fract_y
_atom_site_fract_z
Nd1 0.0000 0.0000 0.2293
Nd2 0.0089 0.5045 0.2293
Ir1 0.0000 0.0000 0.5000
Pd1 0.0000 0.5000 0.5000
I1 0.0000 0.0000 0.0000
I2 0.0000 0.5000 0.0000
# ΔE_f (raw) in eV per atom: -0.906


3.
# LaCdFe2 PBE-GGA relaxed
data_LaCdFe2
_cell_length_a 3.519
_cell_length_b 3.519
_cell_length_c 6.556
_cell_angle_alpha 90.00
_cell_angle_beta 90.00
_cell_angle_gamma 90.00
_space_group_name_H-M_alt 'P 4/m m m'
_space_group_IT_number 123
_space_group_name_Hall '-P 4 2'
loop_
_atom_site_label
_atom_site_fract_x
_atom_site_fract_y
_atom_site_fract_z
La1 0.000 0.000 0.000
Cd1 0.000 0.000 0.500
Fe1 0.500 0.500 0.322
# E_form in eV per atom: 0.346


no.,N(E_F) (states/eV per atom),total magnetic moment (μB per cell)
1,1.661,9.3
2,0.701,0.0
3,0.946,4.5